## one
{"formula": "RbNdPt", "functional": "GGA-PBE", "state": "optimized geometry", "sg": "F-43m (216)", "lattice_angstrom": [[0.000, 3.645, 3.645], [3.645, 0.000, 3.645], [3.645, 3.645, 0.000]], "species": ["Rb", "Nd", "Pt"], "frac_coords": [[0.000, 0.000, 0.000], [0.500, 0.500, 0.500], [0.750, 0.750, 0.750]]}

---

## two
{"formula": "RbNdPt", "functional": "GGA-PBE", "state": "optimized geometry", "sg": "P3m1 (156)", "lattice_angstrom": [[4.515, 0.000, 0.000], [-2.258, 3.910, 0.000], [0.000, 0.000, 18.165]], "species": ["Rb", "Rb", "Rb", "Nd", "Nd", "Nd", "Pt", "Pt", "Pt"], "frac_coords": [[0.000, 0.000, 0.000], [0.000, 0.000, 0.330], [0.667, 0.333, 0.667], [0.333, 0.667, 0.158], [0.333, 0.667, 0.493], [0.333, 0.667, 0.829], [0.000, 0.000, 0.554], [0.667, 0.333, 0.218], [0.667, 0.333, 0.890]]}

---

The structure with the greatest stability is two.